# 1
## LiPtSe2 (meta-GGA SCAN)

Data for LiPtSe2 at its PBEsol-relaxed geometry.

Values from the calculation:
space-group type	R-3m, No. 166
formation energy without anion corrections	-0.486	eV/atom

```
LiPtSe2
1.0
1.882 1.087 7.474
-1.882 1.087 7.474
0.000 -2.173 7.474
Li Pt Se
1 1 2
Direct
0.000 0.000 0.000
0.500 0.500 0.500
0.109 0.109 0.109
0.891 0.891 0.891
```

---

# 2
## NaCa2CdSb (meta-GGA SCAN)

Data for NaCa2CdSb at its PBEsol-relaxed geometry.

Values from the calculation:
space-group type	P4/mmm, No. 123
formation energy without anion corrections	-0.255	eV/atom

```
NaCa2CdSb
1.0
5.875 0.000 0.000
0.000 5.875 0.000
0.000 0.000 5.683
Na Ca Cd Sb
1 2 1 1
Direct
0.000 0.000 0.000
0.000 0.500 0.500
0.500 0.000 0.500
0.500 0.500 0.000
0.000 0.000 0.500
```

---

# 3
## SbBr2N (meta-GGA SCAN)

Data for SbBr2N at its PBEsol-relaxed geometry.

Values from the calculation:
distance to the lowest polymorph of the same formula	0	kJ/mol of formula units
space-group type	Fm-3m, No. 225
formation energy without anion corrections	1.076	eV/atom

```
SbBr2N
1.0
0.000 3.458 3.458
3.458 0.000 3.458
3.458 3.458 0.000
Sb Br N
1 2 1
Direct
0.000 0.000 0.000
0.250 0.250 0.250
0.750 0.750 0.750
0.500 0.500 0.500
```

---

# 4
## LiPW2 (meta-GGA SCAN)

Data for LiPW2 at its PBEsol-relaxed geometry.

Values from the calculation:
formation energy from the elements	43.1	kJ per mole of atoms
space-group type	R-3m, No. 166

```
LiPW2
1.0
1.417 0.818 8.617
-1.417 0.818 8.617
0.000 -1.636 8.617
Li P W
1 1 2
Direct
0.000 0.000 0.000
0.500 0.500 0.500
0.240 0.240 0.240
0.760 0.760 0.760
```

---

# 5
## BaTlTc (meta-GGA SCAN)

Data for BaTlTc at its PBEsol-relaxed geometry.

Values from the calculation:
formation energy from the elements	75.4	kJ per mole of atoms
space-group type	F-43m, No. 216

```
BaTlTc
1.0
0.000 3.489 3.489
3.489 0.000 3.489
3.489 3.489 0.000
Ba Tl Tc
1 1 1
Direct
0.000 0.000 0.000
0.500 0.500 0.500
0.750 0.750 0.750
```

---

# 6
## YMn2Co2 (meta-GGA SCAN)

Data for YMn2Co2 at its PBEsol-relaxed geometry.

Values from the calculation:
formation energy from the elements	12.5	kJ per mole of atoms
space-group type	I4/mmm, No. 139

```
YMn2Co2
1.0
-1.943 1.943 4.590
1.943 -1.943 4.590
1.943 1.943 -4.590
Y Mn Co
1 2 2
Direct
0.000 0.000 0.000
0.385 0.385 0.000
0.615 0.615 0.000
0.250 0.750 0.500
0.750 0.250 0.500
```

---

# 7
## Sc2SbPt2 (meta-GGA SCAN)

Data for Sc2SbPt2 at its PBEsol-relaxed geometry.

Values from the calculation:
space-group type	I4/mmm, No. 139
formation energy without anion corrections	-0.983	eV/atom

```
Sc2SbPt2
1.0
-2.211 2.211 5.361
2.211 -2.211 5.361
2.211 2.211 -5.361
Sc Sb Pt
2 1 2
Direct
0.250 0.750 0.500
0.750 0.250 0.500
0.000 0.000 0.000
0.381 0.381 0.000
0.619 0.619 0.000
```

---

# 8
## ScHF2 (meta-GGA SCAN)

Data for ScHF2 at its PBEsol-relaxed geometry.

Values from the calculation:
distance to the lowest polymorph of the same formula	237	kJ/mol of formula units
space-group type	R-3m, No. 166

```
ScHF2
1.0
1.482 0.855 5.705
-1.482 0.855 5.705
0.000 -1.711 5.705
Sc H F
1 1 2
Direct
0.000 0.000 0.000
0.500 0.500 0.500
0.433 0.433 0.433
0.567 0.567 0.567
```